Record 1
# FeCu2As | Alexandria via LeMat-Bulk | PBE-GGA | optimized geometry
data_FeCu2As
_chemical_formula_sum 'Fe3 Cu6 As3'
_space_group_name_H-M_alt 'R -3 m'
_space_group_IT_number 166
_space_group_name_Hall '-R 3 2"'
_cell_length_a 2.7471
_cell_length_b 2.7471
_cell_length_c 25.1946
_cell_angle_alpha 90.00
_cell_angle_beta 90.00
_cell_angle_gamma 120.00
loop_
_atom_site_label
_atom_site_type_symbol
_atom_site_fract_x
_atom_site_fract_y
_atom_site_fract_z
_atom_site_occupancy
Fe1 Fe 0.0000 0.0000 0.0000 1
Cu1 Cu 0.0000 0.0000 0.2525 1
As1 As 0.0000 0.0000 0.5000 1
# Energy relative to the elements (eV/atom): 0.32



Record 2
# Tb3Al2In2 | Alexandria via LeMat-Bulk | PBE-GGA | optimized geometry
data_Tb3Al2In2
_chemical_formula_sum 'Tb6 Al4 In4'
_space_group_name_H-M_alt 'I m m m'
_space_group_IT_number 71
_space_group_name_Hall '-I 2 2'
_cell_length_a 3.699
_cell_length_b 4.675
_cell_length_c 20.160
_cell_angle_alpha 90.00
_cell_angle_beta 90.00
_cell_angle_gamma 90.00
loop_
_atom_site_label
_atom_site_type_symbol
_atom_site_fract_x
_atom_site_fract_y
_atom_site_fract_z
_atom_site_occupancy
Tb1 Tb 0.000 0.000 0.000 1
Tb2 Tb 0.000 0.500 0.195 1
Al1 Al 0.000 0.000 0.436 1
In1 In 0.000 0.500 0.359 1
# Energy relative to the elements (eV/atom): -0.43



Record 3
# AcInAu | Alexandria via LeMat-Bulk | PBE-GGA | optimized geometry
data_AcInAu
_chemical_formula_sum 'Ac4 In4 Au4'
_space_group_name_H-M_alt 'F -4 3 m'
_space_group_IT_number 216
_space_group_name_Hall 'F -4 2 3'
_cell_length_a 7.221
_cell_length_b 7.221
_cell_length_c 7.221
_cell_angle_alpha 90.00
_cell_angle_beta 90.00
_cell_angle_gamma 90.00
loop_
_atom_site_label
_atom_site_type_symbol
_atom_site_fract_x
_atom_site_fract_y
_atom_site_fract_z
_atom_site_occupancy
Ac1 Ac 0.000 0.000 0.000 1
In1 In 0.000 0.000 0.500 1
Au1 Au 0.250 0.250 0.750 1
# Energy relative to the elements (eV/atom): -0.61



Record 4
Density functional theory data (PBE-GGA) for Nb2AgCl after structural relaxation.

```
data_Nb2AgCl
_chemical_formula_sum 'Nb8 Ag4 Cl4'
_space_group_name_H-M_alt 'F m -3 m'
_space_group_IT_number 225
_space_group_name_Hall '-F 4 2 3'
_cell_length_a 6.525
_cell_length_b 6.525
_cell_length_c 6.525
_cell_angle_alpha 90.00
_cell_angle_beta 90.00
_cell_angle_gamma 90.00
loop_
_atom_site_label
_atom_site_type_symbol
_atom_site_fract_x
_atom_site_fract_y
_atom_site_fract_z
_atom_site_occupancy
Nb1 Nb 0.250 0.250 0.250 1
Ag1 Ag 0.000 0.000 0.000 1
Cl1 Cl 0.000 0.000 0.500 1
```



Record 5
Density functional theory data (PBE-GGA) for InSi2SbMo after structural relaxation.

```
data_InSi2SbMo
_chemical_formula_sum 'In1 Si2 Sb1 Mo1'
_space_group_name_H-M_alt 'P 4/m m m'
_space_group_IT_number 123
_space_group_name_Hall '-P 4 2'
_cell_length_a 4.797
_cell_length_b 4.797
_cell_length_c 5.331
_cell_angle_alpha 90.00
_cell_angle_beta 90.00
_cell_angle_gamma 90.00
loop_
_atom_site_label
_atom_site_type_symbol
_atom_site_fract_x
_atom_site_fract_y
_atom_site_fract_z
_atom_site_occupancy
In1 In 0.000 0.000 0.000 1
Si1 Si 0.000 0.500 0.500 1
Sb1 Sb 0.500 0.500 0.000 1
Mo1 Mo 0.500 0.500 0.500 1
```



Record 6
Density functional theory data (PBE-GGA) for Na3H3Au after structural relaxation.

```
data_Na3H3Au
_chemical_formula_sum 'Na6 H6 Au2'
_space_group_name_H-M_alt 'P 63/m'
_space_group_IT_number 176
_space_group_name_Hall '-P 6c'
_cell_length_a 8.0328
_cell_length_b 8.0328
_cell_length_c 4.6092
_cell_angle_alpha 90.00
_cell_angle_beta 90.00
_cell_angle_gamma 120.00
loop_
_atom_site_label
_atom_site_type_symbol
_atom_site_fract_x
_atom_site_fract_y
_atom_site_fract_z
_atom_site_occupancy
Na1 Na 0.0840 0.6855 0.2500 1
H1 H 0.1690 0.7486 0.7500 1
Au1 Au 0.3333 0.6667 0.7500 1
```



Mass density, record by record: 7.80, 7.24, 9.50, 7.87, 5.26, 3.47 g cm⁻³
Total energy, record by record: -0.3680, -0.3134, -0.2928, -0.4161, -0.3874, -0.1937 Ry per atom